(1)
A relaxed DyMgTlTe3 crystal. Source: the Open Quantum Materials Database, functional GGA-PBE.

The structure in extended XYZ format:
```
24
Lattice="11.743 0.000 0.000 0.000 4.469 0.000 0.000 0.000 15.462" Properties=species:S:1:pos:R:3 pbc="T T T"
Dy 0.133 1.117 3.827
Dy 5.739 3.352 11.558
Dy 6.004 1.117 3.904
Dy 11.610 3.352 11.635
Mg 2.819 1.117 11.074
Mg 3.052 3.352 3.343
Mg 8.691 1.117 12.119
Mg 8.924 3.352 4.388
Tl 2.750 3.352 7.856
Tl 3.121 1.117 0.125
Tl 8.622 3.352 15.337
Tl 8.993 1.117 7.606
Te 0.500 1.117 9.557
Te 0.777 3.352 1.774
Te 2.814 3.352 12.780
Te 3.057 1.117 5.049
Te 5.094 1.117 9.505
Te 5.371 3.352 1.826
Te 6.372 1.117 13.636
Te 6.649 3.352 5.957
Te 8.686 3.352 10.413
Te 8.929 1.117 2.682
Te 10.966 1.117 13.688
Te 11.243 3.352 5.905
```

Output
Total energy (eV/atom): -3.946


(2)
A relaxed SrZnIn crystal. Source: the Open Quantum Materials Database, functional GGA-PBE.

The structure in extended XYZ format:
```
3
Lattice="0.000 3.738 3.738 3.738 0.000 3.738 3.738 3.738 0.000" Properties=species:S:1:pos:R:3 pbc="T T T"
Sr 0.000 0.000 0.000
Zn 1.869 1.869 1.869
In 5.607 5.607 5.607
```

Output
Total energy (eV/atom): -1.655


(3)
A relaxed Nd2Tm2Mg crystal. Source: the Open Quantum Materials Database, functional GGA-PBE.

The structure in extended XYZ format:
```
10
Lattice="8.778 0.000 0.000 0.000 8.778 0.000 0.000 0.000 4.084" Properties=species:S:1:pos:R:3 pbc="T T T"
Nd 1.350 3.040 0.000
Nd 3.040 7.429 0.000
Nd 5.739 1.350 0.000
Nd 7.429 5.739 0.000
Tm 1.284 5.673 2.042
Tm 3.105 1.284 2.042
Tm 5.673 7.494 2.042
Tm 7.494 3.105 2.042
Mg 0.000 0.000 2.042
Mg 4.389 4.389 2.042
```

Output
Total energy (eV/atom): -3.830


(4)
A relaxed NaGdFeTe3 crystal. Source: the Open Quantum Materials Database, functional GGA-PBE.

The structure in extended XYZ format:
```
24
Lattice="12.077 0.000 0.000 0.000 4.411 0.000 0.000 0.000 12.898" Properties=species:S:1:pos:R:3 pbc="T T T"
Na 2.353 1.103 0.146
Na 3.685 3.308 6.595
Na 8.392 1.103 6.303
Na 9.724 3.308 12.751
Gd 0.325 1.103 3.986
Gd 5.714 3.308 10.434
Gd 6.364 1.103 2.463
Gd 11.752 3.308 8.912
Fe 3.016 1.103 9.206
Fe 3.023 3.308 2.757
Fe 9.055 1.103 10.140
Fe 9.061 3.308 3.691
Te 0.621 3.308 1.792
Te 1.222 1.103 7.296
Te 2.564 3.308 10.570
Te 3.475 1.103 4.121
Te 4.816 3.308 0.847
Te 5.417 1.103 8.241
Te 6.660 3.308 4.657
Te 7.261 1.103 12.050
Te 8.602 3.308 8.776
Te 9.514 1.103 2.327
Te 10.855 3.308 5.602
Te 11.456 1.103 11.105
```

Output
Energy above the lowest structure with this stoichiometry (eV per formula unit): 0.39
Total energy (eV/atom): -4.696


(5)
A relaxed CsPa2O4 crystal. Source: the Open Quantum Materials Database, functional GGA-PBE.

The structure in extended XYZ format:
```
14
Lattice="0.000 5.267 5.267 5.267 0.000 5.267 5.267 5.267 0.000" Properties=species:S:1:pos:R:3 pbc="T T T"
Cs 1.317 1.317 1.317
Cs 9.218 9.218 9.218
Pa 5.267 2.634 2.634
Pa 2.634 5.267 2.634
Pa 2.634 2.634 5.267
Pa 5.267 5.267 5.267
O 2.935 2.935 2.935
O 4.966 4.966 2.935
O 4.966 2.935 4.966
O 7.600 5.569 5.569
O 2.935 4.966 4.966
O 5.569 7.600 5.569
O 5.569 5.569 7.600
O 7.600 7.600 7.600
```

Output
Total energy (eV/atom): -7.946


(6)
A relaxed NaSmNiTe3 crystal. Source: the Open Quantum Materials Database, functional GGA-PBE.

The structure in extended XYZ format:
```
24
Lattice="12.355 0.000 0.000 0.000 4.292 0.000 0.000 0.000 12.431" Properties=species:S:1:pos:R:3 pbc="T T T"
Na 2.586 1.073 0.099
Na 3.591 3.219 6.315
Na 8.763 1.073 6.116
Na 9.769 3.219 12.331
Sm 0.527 1.073 3.800
Sm 5.650 3.219 10.015
Sm 6.705 1.073 2.416
Sm 11.827 3.219 8.631
Ni 2.963 3.219 2.669
Ni 3.215 1.073 8.884
Ni 9.140 3.219 3.547
Ni 9.392 1.073 9.762
Te 0.701 3.219 1.553
Te 1.271 1.073 7.118
Te 2.476 3.219 9.984
Te 3.701 1.073 3.769
Te 4.906 3.219 0.902
Te 5.477 1.073 7.769
Te 6.878 3.219 4.662
Te 7.448 1.073 11.528
Te 8.653 3.219 8.662
Te 9.879 1.073 2.446
Te 11.084 3.219 5.313
Te 11.654 1.073 10.877
```

Output
Energy above the lowest structure with this stoichiometry (eV per formula unit): 0.18
Total energy (eV/atom): -4.314


(7)
A relaxed RbHfTc crystal. Source: the Open Quantum Materials Database, functional GGA-PBE.

The structure in extended XYZ format:
```
3
Lattice="0.000 3.358 3.358 3.358 0.000 3.358 3.358 3.358 0.000" Properties=species:S:1:pos:R:3 pbc="T T T"
Rb 0.000 0.000 0.000
Hf 3.358 3.358 3.358
Tc 5.038 5.038 5.038
```

Output
Energy above the lowest structure with this stoichiometry (eV per formula unit): 0.00
Total energy (eV/atom): -5.516


(8)
A relaxed Lu2HgB crystal. Source: the Open Quantum Materials Database, functional GGA-PBE.

The structure in extended XYZ format:
```
4
Lattice="0.000 3.476 3.476 3.476 0.000 3.476 3.476 3.476 0.000" Properties=species:S:1:pos:R:3 pbc="T T T"
Lu 0.000 0.000 0.000
Lu 1.738 1.738 1.738
Hg 5.214 5.214 5.214
B 3.476 3.476 3.476
```

Output
Total energy (eV/atom): -3.210


(9)
A relaxed P2Pt crystal. Source: the Open Quantum Materials Database, functional GGA-PBE.

The structure in extended XYZ format:
```
6
Lattice="0.000 5.192 5.192 5.192 0.000 5.192 5.192 5.192 0.000" Properties=species:S:1:pos:R:3 pbc="T T T"
P 0.000 0.000 0.000
P 2.596 2.596 0.000
P 2.596 0.000 2.596
P 0.000 2.596 2.596
Pt 1.298 1.298 1.298
Pt 9.086 9.086 9.086
```

Output
Total energy (eV/atom): -4.842


(10)
A relaxed FeCuSnTe3 crystal. Source: the Open Quantum Materials Database, functional GGA-PBE.

The structure in extended XYZ format:
```
12
Lattice="1.944 -6.904 0.000 1.944 6.904 0.000 0.000 0.000 10.249" Properties=species:S:1:pos:R:3 pbc="T T T"
Fe 0.000 0.000 0.000
Fe 0.000 0.000 5.124
Cu 1.944 0.710 7.687
Cu 1.944 -0.710 2.562
Sn 1.944 3.768 2.562
Sn 1.944 -3.768 7.687
Te 1.944 5.905 7.687
Te 1.944 1.767 5.362
Te 1.944 1.767 10.011
Te 1.944 -1.767 0.238
Te 1.944 -1.767 4.887
Te 1.944 -5.905 2.562
```

Output
Total energy (eV/atom): -4.188


(11)
A relaxed K3NaSb2Au2 crystal. Source: the Open Quantum Materials Database, functional GGA-PBE.

The structure in extended XYZ format:
```
8
Lattice="6.316 0.000 0.000 0.000 6.434 0.000 -1.768 0.000 6.407" Properties=species:S:1:pos:R:3 pbc="T T T"
K 0.000 0.000 0.000
K -0.311 3.217 2.061
K 3.138 3.217 4.191
Na 1.089 0.000 4.257
Sb 0.019 3.217 5.604
Sb 4.106 0.000 2.833
Au 3.034 1.593 0.934
Au 3.034 4.841 0.934
```

Output
Total energy (eV/atom): -2.917


(12)
A relaxed HfPaTl crystal. Source: the Open Quantum Materials Database, functional GGA-PBE.

The structure in extended XYZ format:
```
3
Lattice="0.000 3.507 3.507 3.507 0.000 3.507 3.507 3.507 0.000" Properties=species:S:1:pos:R:3 pbc="T T T"
Hf 0.000 0.000 0.000
Pa 3.507 3.507 3.507
Tl 1.753 1.753 1.753
```

Output
Energy above the lowest structure with this stoichiometry (eV per formula unit): 0.00
Total energy (eV/atom): -6.475


(13)
A relaxed LuMgIrPb crystal. Source: the Open Quantum Materials Database, functional GGA-PBE.

The structure in extended XYZ format:
```
4
Lattice="0.000 3.461 3.461 3.461 0.000 3.461 3.461 3.461 0.000" Properties=species:S:1:pos:R:3 pbc="T T T"
Lu 0.000 0.000 0.000
Mg 3.461 3.461 3.461
Ir 1.731 1.731 1.731
Pb 5.192 5.192 5.192
```

Output
Energy above the lowest structure with this stoichiometry (eV per formula unit): 0.00
Total energy (eV/atom): -4.961


(14)
A relaxed SmAlGa crystal. Source: the Open Quantum Materials Database, functional GGA-PBE.

The structure in extended XYZ format:
```
3
Lattice="0.000 3.279 3.279 3.279 0.000 3.279 3.279 3.279 0.000" Properties=species:S:1:pos:R:3 pbc="T T T"
Sm 0.000 0.000 0.000
Al 3.279 3.279 3.279
Ga 4.918 4.918 4.918
```

Output
Total energy (eV/atom): -4.187


(15)
A relaxed Cu2Ag3 crystal. Source: the Open Quantum Materials Database, functional GGA-PBE.

The structure in extended XYZ format:
```
10
Lattice="4.863 0.000 0.000 0.000 2.847 0.000 -1.428 0.000 11.289" Properties=species:S:1:pos:R:3 pbc="T T T"
Cu 0.000 0.000 0.000
Cu 0.104 0.000 6.775
Cu 2.431 1.423 0.000
Cu 3.331 0.000 4.514
Ag -0.641 1.423 9.076
Ag 0.841 1.423 4.568
Ag 1.664 0.000 2.178
Ag 1.771 0.000 9.111
Ag 2.594 1.423 6.721
Ag 4.075 1.423 2.213
```

Output
DFT formation energy (meV per atom): 101.3
Energy above the lowest structure with this stoichiometry (eV per formula unit): 0.35
Total energy (eV/atom): -3.080


(16)
A relaxed CsScRe crystal. Source: the Open Quantum Materials Database, functional GGA-PBE.

The structure in extended XYZ format:
```
3
Lattice="0.000 3.429 3.429 3.429 0.000 3.429 3.429 3.429 0.000" Properties=species:S:1:pos:R:3 pbc="T T T"
Cs 0.000 0.000 0.000
Sc 3.429 3.429 3.429
Re 1.714 1.714 1.714
```

Output
Energy above the lowest structure with this stoichiometry (eV per formula unit): 0.00
Total energy (eV/atom): -4.799


(17)
A relaxed ZrSnMo2 crystal. Source: the Open Quantum Materials Database, functional GGA-PBE.

The structure in extended XYZ format:
```
4
Lattice="0.000 3.332 3.332 3.332 0.000 3.332 3.332 3.332 0.000" Properties=species:S:1:pos:R:3 pbc="T T T"
Zr 0.000 0.000 0.000
Sn 4.998 4.998 4.998
Mo 1.666 1.666 1.666
Mo 3.332 3.332 3.332
```

Output
Total energy (eV/atom): -8.453


(18)
A relaxed HfAg2Te crystal. Source: the Open Quantum Materials Database, functional GGA-PBE.

The structure in extended XYZ format:
```
4
Lattice="0.000 3.455 3.455 3.455 0.000 3.455 3.455 3.455 0.000" Properties=species:S:1:pos:R:3 pbc="T T T"
Hf 0.000 0.000 0.000
Ag 1.728 1.728 1.728
Ag 3.455 3.455 3.455
Te 5.183 5.183 5.183
```

Output
Total energy (eV/atom): -4.599


(19)
A relaxed DyTlHgSe3 crystal. Source: the Open Quantum Materials Database, functional GGA-PBE.

The structure in extended XYZ format:
```
24
Lattice="12.275 0.000 0.000 0.000 4.288 0.000 0.000 0.000 12.792" Properties=species:S:1:pos:R:3 pbc="T T T"
Dy 0.432 1.072 2.196
Dy 5.706 3.216 8.592
Dy 6.569 1.072 4.199
Dy 11.843 3.216 10.595
Tl 1.930 1.072 6.440
Tl 4.208 3.216 0.045
Tl 8.067 1.072 12.747
Tl 10.345 3.216 6.351
Hg 3.056 1.072 10.296
Hg 3.082 3.216 3.900
Hg 9.193 1.072 8.892
Hg 9.219 3.216 2.496
Se 0.406 3.216 4.195
Se 1.018 1.072 11.957
Se 2.892 3.216 8.569
Se 3.245 1.072 2.173
Se 5.120 3.216 5.561
Se 5.732 1.072 10.591
Se 6.543 3.216 2.201
Se 7.155 1.072 7.231
Se 9.029 3.216 10.619
Se 9.383 1.072 4.223
Se 11.257 3.216 0.835
Se 11.869 1.072 8.597
```

Output
Energy above the lowest structure with this stoichiometry (eV per formula unit): 0.27
Total energy (eV/atom): -3.845


(20)
A relaxed ScPd2Pt crystal. Source: the Open Quantum Materials Database, functional GGA-PBE.

The structure in extended XYZ format:
```
4
Lattice="0.000 3.205 3.205 3.205 0.000 3.205 3.205 3.205 0.000" Properties=species:S:1:pos:R:3 pbc="T T T"
Sc 0.000 0.000 0.000
Pd 1.602 1.602 1.602
Pd 3.205 3.205 3.205
Pt 4.807 4.807 4.807
```

Output
DFT formation energy (meV per atom): -744.6
Total energy (eV/atom): -6.428


(21)
A relaxed TaNiPd2 crystal. Source: the Open Quantum Materials Database, functional GGA-PBE.

The structure in extended XYZ format:
```
4
Lattice="-1.917 1.917 3.957 1.917 -1.917 3.957 1.917 1.917 -3.957" Properties=species:S:1:pos:R:3 pbc="T T T"
Ta 0.000 0.000 0.000
Ni 0.000 0.000 3.957
Pd 1.917 0.000 1.979
Pd 0.000 1.917 1.979
```

Output
DFT formation energy (meV per atom): -418.9
Energy above the lowest structure with this stoichiometry (eV per formula unit): 0.00
Total energy (eV/atom): -7.362


(22)
A relaxed Pm4NdBi5 crystal. Source: the Open Quantum Materials Database, functional GGA-PBE.

The structure in extended XYZ format:
```
10
Lattice="-2.285 2.285 16.157 2.285 -2.285 16.157 2.285 2.285 -16.157" Properties=species:S:1:pos:R:3 pbc="T T T"
Pm 0.000 0.000 3.235
Pm 0.000 0.000 9.688
Pm 0.000 0.000 22.625
Pm 0.000 0.000 29.078
Nd 0.000 0.000 16.157
Bi 0.000 0.000 0.000
Bi 0.000 0.000 6.463
Bi 0.000 0.000 12.913
Bi 0.000 0.000 19.401
Bi 0.000 0.000 25.850
```

Output
Total energy (eV/atom): -5.359


(23)
A relaxed HoTlHgTe3 crystal. Source: the Open Quantum Materials Database, functional GGA-PBE.

The structure in extended XYZ format:
```
12
Lattice="2.194 -7.743 0.000 2.194 7.743 0.000 0.000 0.000 11.542" Properties=species:S:1:pos:R:3 pbc="T T T"
Ho 0.000 0.000 0.000
Ho 0.000 0.000 5.771
Tl 2.194 4.035 8.656
Tl 2.194 -4.035 2.885
Hg 2.194 0.621 2.885
Hg 2.194 -0.621 8.656
Te 2.194 6.476 2.885
Te 2.194 2.143 0.514
Te 2.194 2.143 5.257
Te 2.194 -2.143 6.285
Te 2.194 -2.143 11.027
Te 2.194 -6.476 8.656
```

Output
Energy above the lowest structure with this stoichiometry (eV per formula unit): 0.01
Total energy (eV/atom): -3.486